a.
# AcEuS2 | Alexandria | PBE-GGA | relaxed
# Size of the total moment in μB/f.u.: 6.95
data_AcEuS2
_symmetry_space_group_name_H-M 'R -3 m'
_symmetry_Int_Tables_number 166
_symmetry_space_group_name_Hall '-R 3 2"'
_cell_length_a 4.2206
_cell_length_b 4.2206
_cell_length_c 20.8308
_cell_angle_alpha 90.00
_cell_angle_beta 90.00
_cell_angle_gamma 120.00
loop_
_atom_site_label
_atom_site_fract_x
_atom_site_fract_y
_atom_site_fract_z
Ac1 0.0000 0.0000 0.0000
Eu1 0.0000 0.0000 0.5000
S1 0.0000 0.0000 0.2462

---

b.
# AcEuS2 | Alexandria | PBE-GGA | relaxed
# Size of the total moment in μB/f.u.: 7.53
data_AcEuS2
_symmetry_space_group_name_H-M 'P 4/m m m'
_symmetry_Int_Tables_number 123
_symmetry_space_group_name_Hall '-P 4 2'
_cell_length_a 5.154
_cell_length_b 5.154
_cell_length_c 3.662
_cell_angle_alpha 90.00
_cell_angle_beta 90.00
_cell_angle_gamma 90.00
loop_
_atom_site_label
_atom_site_fract_x
_atom_site_fract_y
_atom_site_fract_z
Ac1 0.000 0.000 0.000
Eu1 0.500 0.500 0.000
S1 0.000 0.500 0.500

---

Winner for stability: a